[1]
Computed, not measured: a relaxed structure of GeSCl2F at the PBE level of DFT.

Computed properties:
Total DFT energy (no corrections) in eV/atom: -2.8693
Energy relative to the elements, uncorrected in eV/atom: -0.007
Total moment in μB/cell: 1.8
Polymorph energy (0 for the lowest one) in eV per atom: 0.006

Lattice parameters (Å, degrees): 4.7581 4.7581 4.9563 90.00 90.00 90.00
Closest atoms and distances in Å follow each position.
Space group P4/mmm (No. 123)
One atom of each set of equivalent atoms:
Ge  0.0000  0.0000  0.0000 [1 per cell]  4 Cl 2.38, 2 S 2.48
S  0.0000  0.0000  0.5000 [1 per cell]  2 Ge 2.48
Cl  0.0000  0.5000  0.0000 [2 per cell]  2 Ge 2.38
F  0.5000  0.5000  0.5000 [1 per cell]  4 S 3.36, 8 Cl 3.44

=====

[2]
Computed, not measured: a relaxed structure of GeSCl2F at the PBE level of DFT.

Computed properties:
Total DFT energy (no corrections) in eV/atom: -2.6957
Energy relative to the elements, uncorrected in eV/atom: 0.166
Total moment in μB/cell: 1.1
Polymorph energy (0 for the lowest one) in eV per atom: 0.180

Lattice parameters (Å, degrees): 5.3741 5.3741 3.6568 90.00 90.00 90.00
Closest atoms and distances in Å follow each position.
Space group P4/mmm (No. 123)
One atom of each set of equivalent atoms:
Ge  0.0000  0.0000  0.0000 [1 per cell]  8 Cl 3.25
S  0.5000  0.5000  0.0000 [1 per cell]  2 F 1.83
Cl  0.0000  0.5000  0.5000 [2 per cell]  2 F 2.69
F  0.5000  0.5000  0.5000 [1 per cell]  2 S 1.83